Computed, not measured: crystalline PaInAgCl6 at its relaxed geometry at the PBE level of DFT.

## Properties
Fermi-level density of states	0.95	states/eV/cell
uncorrected formation energy	-1351	meV/atom
total moment	2.0	μB per cell
theoretical density	3.7	g/cm3

Structure (CIF):
```
data_PaInAgCl6
_chemical_formula_sum 'Pa2 In2 Ag2 Cl12'
_cell_length_a 7.0001
_cell_length_b 7.0001
_cell_length_c 14.1975
_cell_angle_alpha 90.00
_cell_angle_beta 90.00
_cell_angle_gamma 120.00
_symmetry_space_group_name_H-M 'P -3 1 c'
_symmetry_Int_Tables_number 163
_symmetry_space_group_name_Hall '-P 3 2c'
loop_
_atom_site_label
_atom_site_type_symbol
_atom_site_fract_x
_atom_site_fract_y
_atom_site_fract_z
Pa1 Pa 0.3333 0.6667 0.2500
In1 In 0.0000 0.0000 0.0000
Ag1 Ag 0.3333 0.6667 0.7500
Cl1 Cl 0.0151 0.3667 0.1406
```

Computed, not measured: crystalline ReAs2Rh at its relaxed geometry at the PBE level of DFT.

## Properties
Fermi-level density of states	3.24	states/eV/cell
total moment	0.0	μB per cell
energy of formation	0.0192	eV/atom
theoretical density	10.7	g/cm3

Structure (CIF):
```
data_ReAs2Rh
_chemical_formula_sum 'Re1 As2 Rh1'
_cell_length_a 2.932
_cell_length_b 2.932
_cell_length_c 7.932
_cell_angle_alpha 90.00
_cell_angle_beta 90.00
_cell_angle_gamma 90.00
_symmetry_space_group_name_H-M 'P 4 m m'
_symmetry_Int_Tables_number 99
loop_
_symmetry_equiv_pos_as_xyz
'x,y,z'
'-y,x,z'
'-x,-y,z'
'y,-x,z'
'-x,y,z'
'y,x,z'
'x,-y,z'
'-y,-x,z'
loop_
_atom_site_label
_atom_site_type_symbol
_atom_site_fract_x
_atom_site_fract_y
_atom_site_fract_z
Re1 Re 0.000 0.000 0.000
As1 As 0.000 0.000 0.437
As2 As 0.500 0.500 0.801
Rh1 Rh 0.500 0.500 0.236
```

Computed, not measured: crystalline MgSbTeO6 at its relaxed geometry at the PBE level of DFT.

## Properties
Fermi-level density of states	3.57	states/eV/cell
uncorrected formation energy	-1436	meV/atom
total moment	0.0	μB per cell
theoretical density	5.7	g/cm3

Structure (CIF):
```
data_MgSbTeO6
_chemical_formula_sum 'Mg2 Sb2 Te2 O12'
_cell_length_a 5.2195
_cell_length_b 5.2195
_cell_length_c 9.1370
_cell_angle_alpha 90.00
_cell_angle_beta 90.00
_cell_angle_gamma 120.00
_symmetry_space_group_name_H-M 'P -3 1 c'
_symmetry_Int_Tables_number 163
_symmetry_space_group_name_Hall '-P 3 2c'
loop_
_atom_site_label
_atom_site_type_symbol
_atom_site_fract_x
_atom_site_fract_y
_atom_site_fract_z
Mg1 Mg 0.3333 0.6667 0.2500
Sb1 Sb 0.0000 0.0000 0.0000
Te1 Te 0.3333 0.6667 0.7500
O1 O 0.0167 0.3509 0.6312
```

Computed, not measured: crystalline CaIr2 at its relaxed geometry at the PBE level of DFT.

## Properties
Fermi-level density of states	11.15	states/eV/cell
total moment	1.1	μB per cell
energy of formation	0.3633	eV/atom
theoretical density	13.0	g/cm3

Structure (CIF):
```
data_CaIr2
_chemical_formula_sum 'Ca2 Ir4'
_cell_length_a 2.753
_cell_length_b 7.977
_cell_length_c 4.944
_cell_angle_alpha 90.00
_cell_angle_beta 90.00
_cell_angle_gamma 90.00
_symmetry_space_group_name_H-M 'P n n m'
_symmetry_Int_Tables_number 58
loop_
_symmetry_equiv_pos_as_xyz
'x,y,z'
'-x,-y,-z'
'-x,-y,z'
'x,y,-z'
'x+1/2,-y+1/2,-z+1/2'
'-x+1/2,y+1/2,z+1/2'
'-x+1/2,y+1/2,-z+1/2'
'x+1/2,-y+1/2,z+1/2'
loop_
_atom_site_label
_atom_site_type_symbol
_atom_site_fract_x
_atom_site_fract_y
_atom_site_fract_z
Ca1 Ca 0.000 0.000 0.000
Ir1 Ir 0.230 0.358 0.000
```

Computed, not measured: crystalline SbAs2F8 at its relaxed geometry at the PBE level of DFT.

## Properties
Fermi-level density of states	2.91	states/eV/cell
uncorrected formation energy	-1913	meV/atom
total moment	0.0	μB per cell
theoretical density	3.8	g/cm3

Structure (CIF):
```
data_SbAs2F8
_chemical_formula_sum 'Sb2 As4 F16'
_cell_length_a 11.551
_cell_length_b 5.543
_cell_length_c 5.751
_cell_angle_alpha 90.00
_cell_angle_beta 91.50
_cell_angle_gamma 90.00
_symmetry_space_group_name_H-M 'C 1 2/m 1'
_symmetry_Int_Tables_number 12
loop_
_symmetry_equiv_pos_as_xyz
'x,y,z'
'-x,-y,-z'
'-x,y,-z'
'x,-y,z'
'x+1/2,y+1/2,z'
'-x+1/2,-y+1/2,-z'
'-x+1/2,y+1/2,-z'
'x+1/2,-y+1/2,z'
loop_
_atom_site_label
_atom_site_type_symbol
_atom_site_fract_x
_atom_site_fract_y
_atom_site_fract_z
Sb1 Sb 0.000 0.000 0.000
As1 As 0.231 0.000 0.411
F1 F 0.102 0.000 0.699
F2 F 0.128 0.219 0.236
F3 F 0.168 0.500 0.820
```

Computed, not measured: crystalline MnGa2GeN at its relaxed geometry at the PBE level of DFT.

## Properties
Fermi-level density of states	4.70	states/eV/cell
uncorrected formation energy	1572	meV/atom
total moment	2.9	μB per cell
theoretical density	3.2	g/cm3

Structure (CIF):
```
data_MnGa2GeN
_chemical_formula_sum 'Mn1 Ga2 Ge1 N1'
_cell_length_a 5.269
_cell_length_b 5.269
_cell_length_c 5.319
_cell_angle_alpha 90.00
_cell_angle_beta 90.00
_cell_angle_gamma 90.00
_symmetry_space_group_name_H-M 'P 4/m m m'
_symmetry_Int_Tables_number 123
_symmetry_space_group_name_Hall '-P 4 2'
loop_
_atom_site_label
_atom_site_type_symbol
_atom_site_fract_x
_atom_site_fract_y
_atom_site_fract_z
Mn1 Mn 0.000 0.000 0.000
Ga1 Ga 0.000 0.500 0.500
Ge1 Ge 0.000 0.000 0.500
N1 N 0.500 0.500 0.000
```

Computed, not measured: crystalline La2InAs at its relaxed geometry at the PBE level of DFT.

## Properties
Fermi-level density of states	9.12	states/eV/cell
total moment	0.0	μB per cell
energy of formation	-0.8396	eV/atom
theoretical density	6.6	g/cm3

Structure (CIF):
```
data_La2InAs
_chemical_formula_sum 'La4 In2 As2'
_cell_length_a 4.329
_cell_length_b 4.660
_cell_length_c 11.742
_cell_angle_alpha 90.00
_cell_angle_beta 90.00
_cell_angle_gamma 90.00
_symmetry_space_group_name_H-M 'A m m 2'
_symmetry_Int_Tables_number 38
loop_
_symmetry_equiv_pos_as_xyz
'x,y,z'
'-x,-y,z'
'-x,y,z'
'x,-y,z'
'x,y+1/2,z+1/2'
'-x,-y+1/2,z+1/2'
'-x,y+1/2,z+1/2'
'x,-y+1/2,z+1/2'
loop_
_atom_site_label
_atom_site_type_symbol
_atom_site_fract_x
_atom_site_fract_y
_atom_site_fract_z
La1 La 0.000 0.000 0.000
La2 La 0.500 0.000 0.277
In1 In 0.000 0.000 0.719
As1 As 0.500 0.000 0.545
```

Computed, not measured: crystalline Sc6CuTe2 at its relaxed geometry at the PBE level of DFT.

## Properties
Fermi-level density of states	37.51	states/eV/cell
uncorrected formation energy	-601	meV/atom
total moment	0.0	μB per cell
theoretical density	4.7	g/cm3

Structure (CIF):
```
data_Sc6CuTe2
_chemical_formula_sum 'Sc24 Cu4 Te8'
_cell_length_a 20.199
_cell_length_b 3.813
_cell_length_c 10.752
_cell_angle_alpha 90.00
_cell_angle_beta 90.00
_cell_angle_gamma 90.00
_symmetry_space_group_name_H-M 'P n m a'
_symmetry_Int_Tables_number 62
loop_
_symmetry_equiv_pos_as_xyz
'x,y,z'
'-x,-y,-z'
'-x+1/2,-y,z+1/2'
'x+1/2,y,-z+1/2'
'x+1/2,-y+1/2,-z+1/2'
'-x+1/2,y+1/2,z+1/2'
'-x,y+1/2,-z'
'x,-y+1/2,z'
loop_
_atom_site_label
_atom_site_type_symbol
_atom_site_fract_x
_atom_site_fract_y
_atom_site_fract_z
Sc1 Sc 0.005 0.250 0.111
Sc2 Sc 0.024 0.750 0.379
Sc3 Sc 0.108 0.250 0.810
Sc4 Sc 0.137 0.750 0.060
Sc5 Sc 0.157 0.250 0.532
Sc6 Sc 0.231 0.750 0.740
Cu1 Cu 0.077 0.750 0.637
Te1 Te 0.124 0.250 0.269
Te2 Te 0.236 0.250 0.957
```